Entry P
A plane-wave DFT calculation with GGA-PBE was carried out for an optimized crystal structure of Zn4Ag3Au4.

Cell lengths 5.108, 5.132, 7.259 Å; angles 101.45, 86.48, 95.00 degrees
Fractional coordinates of all 11 atoms:
Zn 0.275 0.164 0.547
Zn 0.598 0.328 0.245
Zn 0.725 0.836 0.453
Zn 0.402 0.672 0.755
Ag 0.065 0.072 0.200
Ag 0.935 0.928 0.800
Ag 0.000 0.500 0.000
Au 0.208 0.637 0.412
Au 0.792 0.363 0.588
Au 0.543 0.791 0.108
Au 0.457 0.209 0.892

Fermi-level density of states ... 0.231 states/eV per atom
Magnetic moment ... 0.0 Bohr magnetons per cell


Entry Q
A plane-wave DFT calculation with GGA-PBE was carried out for an optimized crystal structure of Zn4Ag3Au4.

Cell lengths 3.055, 7.570, 9.155 Å; angles 114.42, 99.60, 90.00 degrees
Fractional coordinates of all 11 atoms:
Zn 0.257 0.757 0.514
Zn 0.743 0.243 0.486
Zn 0.500 0.802 0.000
Zn 0.500 0.198 0.000
Ag 0.104 0.104 0.208
Ag 0.896 0.896 0.792
Ag 0.000 0.500 0.000
Au 0.348 0.160 0.695
Au 0.652 0.465 0.305
Au 0.652 0.840 0.305
Au 0.348 0.535 0.695

Fermi-level density of states ... 0.231 states/eV per atom
Magnetic moment ... 0.0 Bohr magnetons per cell


The least stable of them is entry Q.